i.
A plane-wave DFT calculation with GGA-PBE was carried out for a relaxed CrIn3Ga crystal.

Lattice parameters (Å, degrees): 5.3022 5.3022 5.3022 90.00 90.00 90.00
Last column: nearest neighbours and their distance in Å.
Fractional positions:
In (0.0000, 0.5000, 0.0000)  2 Ga 2.65
In (0.5000, 0.0000, 0.0000)  2 Ga 2.65
In (0.0000, 0.0000, 0.5000)  2 Ga 2.65
Ga (0.0000, 0.0000, 0.0000)  6 In 2.65
Cr (0.5000, 0.5000, 0.5000)  12 In 3.75

Summary:
N(E_F), states/eV/atom: 0.417
Crystal system: cubic
SG: Pm-3m, No. 221
Total magnetic moment, μB per formula unit: 4.90

***

ii.
A plane-wave DFT calculation with GGA-PBE was carried out for a relaxed CrIn3Ga crystal.

Lattice parameters (Å, degrees): 5.1720 5.1720 5.1720 90.00 90.00 90.00
Last column: nearest neighbours and their distance in Å.
Fractional positions:
In (0.0000, 0.5000, 0.0000)  2 Cr 2.59
In (0.0000, 0.0000, 0.5000)  2 Cr 2.59
In (0.5000, 0.0000, 0.0000)  2 Cr 2.59
Ga (0.5000, 0.5000, 0.5000)  12 In 3.66
Cr (0.0000, 0.0000, 0.0000)  6 In 2.59

Summary:
N(E_F), states/eV/atom: 0.854
Crystal system: cubic
SG: Pm-3m, No. 221
Total magnetic moment, μB per formula unit: 1.90

***

Most stable to least stable, the ends of the list are ii and i.

***

i.
A plane-wave DFT calculation with GGA-PBE was carried out for a relaxed Cr2InGa2 crystal.

Lattice parameters (Å, degrees): 7.1110 7.1110 3.1110 90.00 90.00 90.00
Last column: nearest neighbours and their distance in Å.
Fractional positions:
Ga (0.3188, 0.1812, 0.5000)  6 Cr 2.62-2.65
Ga (0.8188, 0.3188, 0.5000)  6 Cr 2.62-2.65
Ga (0.1812, 0.6812, 0.5000)  6 Cr 2.62-2.65
Ga (0.6812, 0.8188, 0.5000)  6 Cr 2.62-2.65
Cr (0.3940, 0.8940, 0.0000)  1 Cr 2.13
Cr (0.1060, 0.3940, 0.0000)  1 Cr 2.13
Cr (0.6060, 0.1060, 0.0000)  1 Cr 2.13
Cr (0.8940, 0.6060, 0.0000)  1 Cr 2.13
In (0.0000, 0.0000, 0.0000)  4 Cr 2.90, 8 Ga 3.04, 2 In 3.11
In (0.5000, 0.5000, 0.0000)  4 Cr 2.90, 8 Ga 3.04, 2 In 3.11

Summary:
N(E_F), states/eV/atom: 0.950
Crystal system: tetragonal
SG: P4/mbm, No. 127
Total magnetic moment, μB per formula unit: 0.00

***

ii.
A plane-wave DFT calculation with GGA-PBE was carried out for a relaxed Cr2InGa2 crystal.

Lattice parameters (Å, degrees): 7.3751 7.3751 2.9972 90.00 90.00 90.00
Last column: nearest neighbours and their distance in Å.
Fractional positions:
In (0.0000, 0.0000, 0.0000)  4 Ga 2.92, 2 In 3.00, 8 Cr 3.11
In (0.5000, 0.5000, 0.0000)  4 Ga 2.92, 2 In 3.00, 8 Cr 3.11
Cr (0.6747, 0.8253, 0.5000)  6 Ga 2.59-2.69
Cr (0.3253, 0.1747, 0.5000)  6 Ga 2.59-2.69
Cr (0.1747, 0.6747, 0.5000)  6 Ga 2.59-2.69
Cr (0.8253, 0.3253, 0.5000)  6 Ga 2.59-2.69
Ga (0.8768, 0.6232, 0.0000)  1 Ga 2.57, 6 Cr 2.59-2.69
Ga (0.3768, 0.8768, 0.0000)  1 Ga 2.57, 6 Cr 2.59-2.69
Ga (0.1232, 0.3768, 0.0000)  1 Ga 2.57, 6 Cr 2.59-2.69
Ga (0.6232, 0.1232, 0.0000)  1 Ga 2.57, 6 Cr 2.59-2.69

Summary:
N(E_F), states/eV/atom: 0.329
Crystal system: tetragonal
SG: P4/mbm, No. 127
Total magnetic moment, μB per formula unit: 5.83

***

Most stable to least stable, the ends of the list are ii and i.

***

i.
A plane-wave DFT calculation with GGA-PBE was carried out for a relaxed CrGa2Ir2 crystal.

Lattice parameters (Å, degrees): 3.9814 3.9814 5.8865 70.23 70.23 90.00
Last column: nearest neighbours and their distance in Å.
Fractional positions:
Cr (0.0000, 0.0000, 0.0000)  8 Ga 3.04, 8 Ir 3.26
Ir (0.2500, 0.7500, 0.5000)  4 Ga 2.45
Ir (0.7500, 0.2500, 0.5000)  4 Ga 2.45
Ga (0.6119, 0.6119, 0.7762)  1 Ga 2.31, 4 Ir 2.45
Ga (0.3881, 0.3881, 0.2238)  1 Ga 2.31, 4 Ir 2.45

Summary:
N(E_F), states/eV/atom: 1.320
Crystal system: tetragonal
SG: I4/mmm, No. 139
Total magnetic moment, μB per formula unit: 0.39

***

ii.
A plane-wave DFT calculation with GGA-PBE was carried out for a relaxed CrGa2Ir2 crystal.

Lattice parameters (Å, degrees): 7.2498 7.2498 2.8878 90.00 90.00 90.00
Last column: nearest neighbours and their distance in Å.
Fractional positions:
Ir (0.1607, 0.6607, 0.5000)  6 Ga 2.52-2.61
Ir (0.6607, 0.8393, 0.5000)  6 Ga 2.52-2.61
Ir (0.3393, 0.1607, 0.5000)  6 Ga 2.52-2.61
Ir (0.8393, 0.3393, 0.5000)  6 Ga 2.52-2.61
Ga (0.6378, 0.1378, 0.0000)  6 Ir 2.52-2.61, 2 Cr 2.81
Ga (0.8622, 0.6378, 0.0000)  6 Ir 2.52-2.61, 2 Cr 2.81
Ga (0.1378, 0.3622, 0.0000)  6 Ir 2.52-2.61, 2 Cr 2.81
Ga (0.3622, 0.8622, 0.0000)  6 Ir 2.52-2.61, 2 Cr 2.81
Cr (0.0000, 0.0000, 0.0000)  4 Ga 2.81, 2 Cr 2.89, 8 Ir 3.08
Cr (0.5000, 0.5000, 0.0000)  4 Ga 2.81, 2 Cr 2.89, 8 Ir 3.08

Summary:
N(E_F), states/eV/atom: 0.602
Crystal system: tetragonal
SG: P4/mbm, No. 127
Total magnetic moment, μB per formula unit: 4.03

***

Most stable to least stable, the ends of the list are ii and i.